Here is an optimized crystal structure of Cs2SrZnCl from Alexandria. Energies are from PBE.

Values from the calculation:
**Formation energy (no corrections)**: -312 meV per atom
**Density of states at the Fermi level**: 1.130 states/eV per atom
**Magnetic moment**: 0.00 μB per atom
**Energy**: -1.61 eV per atom

```
data_Cs2SrZnCl
_chemical_formula_sum 'Cs2 Sr1 Zn1 Cl1'
_cell_length_a 8.841
_cell_length_b 8.841
_cell_length_c 5.538
_cell_angle_alpha 90.00
_cell_angle_beta 90.00
_cell_angle_gamma 90.00
_space_group_name_H-M_alt 'P 4/m m m'
_space_group_IT_number 123
_space_group_name_Hall '-P 4 2'
loop_
_atom_site_label
_atom_site_type_symbol
_atom_site_fract_x
_atom_site_fract_y
_atom_site_fract_z
_atom_site_occupancy
Cs1 Cs 0.000 0.500 0.000 1
Sr1 Sr 0.000 0.000 0.000 1
Zn1 Zn 0.500 0.500 0.500 1
Cl1 Cl 0.000 0.000 0.500 1
```